! PBE Ti2AgIBr, optimized geometry; values from VASP
&SYSTEM
  ibrav = 0, nat = 5, ntyp = 4
/
ATOMIC_SPECIES
I 126.90 I.upf
Br 79.90 Br.upf
Ag 107.87 Ag.upf
Ti 47.87 Ti.upf
ATOMIC_POSITIONS crystal
I 0.000 0.500 0.000
Br 0.500 0.500 0.500
Ag 0.000 0.000 0.000
Ti 0.000 0.000 0.500
Ti 0.500 0.000 0.000
CELL_PARAMETERS angstrom
5.322 0.000 0.000
0.000 5.368 0.000
0.000 0.000 5.322
! DOS(E_F)   7.7 states/eV per cell
! Formation energy without anion corrections   843.9 meV per atom
! Space group   P4/mmm